1.
DFT (PBE) results for TbThRePd after structural relaxation.

The structure in POSCAR format:
```
TbThRePd
1.0
0.000 3.539 3.539
3.539 0.000 3.539
3.539 3.539 0.000
Tb Th Re Pd
1 1 1 1
Cartesian
0.000 0.000 0.000
3.539 3.539 3.539
1.770 1.770 1.770
5.309 5.309 5.309
```

mass density = 12.8 g/cm3
total energy = -0.5672 Ry per atom
ΔH_f (0 K) = -1.2 eV per formula unit
magnetic moment = 0.000 μB per atom

2.
DFT (PBE) results for Cs3Dy3ScS8 after structural relaxation.

The structure in POSCAR format:
```
Cs3Dy3ScS8
1.0
6.931 -3.999 0.000
6.931 3.999 0.000
-4.627 0.000 8.203
Cs Dy Sc S
3 3 1 8
Cartesian
0.000 0.000 0.000
3.466 2.000 0.000
3.466 -2.000 0.000
1.152 2.000 4.101
1.152 -2.000 4.101
4.618 0.000 4.101
-2.313 0.000 4.101
-0.092 0.000 5.531
3.507 2.077 5.531
5.729 2.077 2.671
2.308 0.000 2.610
6.928 0.000 5.592
3.507 -2.077 5.531
5.729 -2.077 2.671
9.328 0.000 2.671
```

mass density = 4.3 g/cm3
total energy = -0.4006 Ry per atom
magnetic moment = 0.000 μB per atom

3.
DFT (PBE) results for OsWSe3 after structural relaxation.

The structure in POSCAR format:
```
OsWSe3
1.0
4.829 0.000 0.000
0.000 4.829 0.000
0.000 0.000 4.829
Os W Se
1 1 3
Cartesian
0.000 0.000 0.000
2.415 2.415 2.415
0.000 2.415 2.415
2.415 0.000 2.415
2.415 2.415 0.000
```

E above lowest polymorph = 6.58 eV/f.u.
mass density = 9.0 g/cm3
total energy = -0.3986 Ry per atom
magnetic moment = 0.000 μB per atom

4.
DFT (PBE) results for SiGeCl after structural relaxation.

The structure in POSCAR format:
```
SiGeCl
1.0
3.983 0.000 0.000
1.992 3.450 0.000
0.057 0.003 11.556
Si Ge Cl
2 2 2
Cartesian
0.997 0.576 2.012
5.035 2.876 9.544
2.988 1.726 1.241
3.044 1.726 10.315
0.995 0.575 4.086
5.037 2.878 7.470
```

E above lowest polymorph = 0.00 eV/f.u.
mass density = 2.8 g/cm3
total energy = -0.3244 Ry per atom
magnetic moment = 0.000 μB per atom

5.
DFT (PBE) results for RhSe2Br after structural relaxation.

The structure in POSCAR format:
```
RhSe2Br
1.0
4.944 0.000 0.000
0.000 4.944 0.000
0.000 0.000 3.069
Rh Se Br
1 2 1
Cartesian
0.000 0.000 0.000
0.000 2.472 1.535
2.472 0.000 1.535
2.472 2.472 0.000
```

E above lowest polymorph = 3.75 eV/f.u.
mass density = 7.5 g/cm3
total energy = -0.2479 Ry per atom
magnetic moment = 0.000 μB per atom

6.
DFT (PBE) results for Pr2SmHo5Tm after structural relaxation.

The structure in POSCAR format:
```
Pr2SmHo5Tm
1.0
-4.333 4.333 7.826
4.333 -4.333 7.826
4.333 4.333 -7.826
Pr Sm Ho Tm
4 2 10 2
Cartesian
5.356 1.023 0.000
1.023 3.311 0.000
3.311 1.023 7.826
-1.023 3.311 7.826
0.000 0.000 3.913
0.000 0.000 11.739
0.000 0.000 0.000
2.491 1.842 -2.197
2.491 -1.842 5.629
2.491 1.842 2.197
2.491 -1.842 10.023
0.000 0.000 7.826
1.842 6.176 -2.197
1.842 2.491 5.629
1.842 6.176 2.197
1.842 2.491 10.023
4.333 0.000 3.913
0.000 4.333 3.913
```

mass density = 8.1 g/cm3
total energy = -0.3201 Ry per atom
ΔH_f (0 K) = 2.4 eV per formula unit
magnetic moment = 0.000 μB per atom